Record 1
LaAlNi | PBE | relaxed

Unit cell a=4.6605 b=4.6605 c=4.6605 alpha=60.00 beta=60.00 gamma=60.00
Closest atoms and distances in Å follow each position.
Positions (direct):
Al: 0.7500 0.7500 0.7500  4 La 2.85, 4 Ni 2.85
Ni: 0.5000 0.5000 0.5000  4 Al 2.85
La: 0.0000 0.0000 0.0000  4 Al 2.85

Total moment ... 0.00 μB per cell
DOS(E_F) ... 4.09 states/eV/cell
Symmetry ... No. 216
Energy of formation from the pure elements ... 0.184 eV/atom
Raw total energy ... -0.170 Ha/atom

=====

Record 2
LiSmThGe | PBE | relaxed

Unit cell a=5.1672 b=5.1672 c=5.1672 alpha=60.00 beta=60.00 gamma=60.00
Closest atoms and distances in Å follow each position.
Positions (direct):
Ge: 0.7500 0.7500 0.7500  4 Sm 3.16, 4 Th 3.16
Li: 0.2500 0.2500 0.2500  4 Sm 3.16, 4 Th 3.16
Th: 0.0000 0.0000 0.0000  4 Li 3.16, 4 Ge 3.16
Sm: 0.5000 0.5000 0.5000  4 Ge 3.16, 4 Li 3.16

Total moment ... 0.00 μB per cell
DOS(E_F) ... 2.91 states/eV/cell
Symmetry ... No. 216
Energy of formation from the pure elements ... -0.273 eV/atom
Raw total energy ... -0.182 Ha/atom

=====

Record 3
UPaCoRh | PBE | relaxed

Unit cell a=4.5788 b=4.5788 c=4.5788 alpha=60.00 beta=60.00 gamma=60.00
Closest atoms and distances in Å follow each position.
Positions (direct):
Pa: 0.7500 0.7500 0.7500  4 U 2.80, 4 Co 2.80
Rh: 0.2500 0.2500 0.2500  4 Co 2.80, 4 U 2.80
Co: 0.5000 0.5000 0.5000  4 Pa 2.80, 4 Rh 2.80
U: 0.0000 0.0000 0.0000  4 Pa 2.80, 4 Rh 2.80

Total moment ... 1.09 μB per cell
DOS(E_F) ... 5.76 states/eV/cell
Symmetry ... No. 216
Energy of formation from the pure elements ... -0.402 eV/atom
Raw total energy ... -0.339 Ha/atom

=====

Record 4
LaNd2InO | PBE | relaxed

Unit cell a=5.0335 b=5.0155 c=5.0155 alpha=90.00 beta=90.00 gamma=90.00
Closest atoms and distances in Å follow each position.
Positions (direct):
In: 0.5000 0.5000 0.5000  4 La 3.55, 8 Nd 3.55
O: 0.0000 0.0000 0.0000  4 Nd 2.51, 2 La 2.52
Nd: 0.0000 0.5000 0.0000  2 O 2.51
Nd: 0.0000 0.0000 0.5000  2 O 2.51
La: 0.5000 0.0000 0.0000  2 O 2.52

Total moment ... 0.00 μB per cell
DOS(E_F) ... 1.85 states/eV/cell
Symmetry ... No. 123
E_form (uncorrected) ... -1.413 eV/atom
Raw total energy ... -0.215 Ha/atom

=====

Record 5
Ca2AcAu2 | PBE | relaxed

Unit cell a=5.2775 b=5.2775 c=6.4003 alpha=90.00 beta=90.00 gamma=59.99
Closest atoms and distances in Å follow each position.
Positions (direct):
Ac: 0.5000 0.0000 0.0000  6 Au 3.26
Ca: 0.1667 0.6667 0.3430  5 Au 3.05-3.35
Ca: 0.8333 0.3333 0.6570  5 Au 3.05-3.35
Au: 0.8333 0.3333 0.1809  5 Ca 3.05-3.35, 3 Ac 3.26
Au: 0.1667 0.6667 0.8191  5 Ca 3.05-3.35, 3 Ac 3.26

Total moment ... 0.00 μB per cell
DOS(E_F) ... 4.61 states/eV/cell
Symmetry ... No. 164
Energy of formation from the pure elements ... -0.632 eV/atom
Raw total energy ... -0.131 Ha/atom

=====

Record 6
Na3Zn9Ag2 | PBE | relaxed

Unit cell a=4.4478 b=8.3055 c=8.3055 alpha=64.92 beta=74.47 gamma=74.47
Closest atoms and distances in Å follow each position.
Positions (direct):
Zn: 0.1312 0.1519 0.5857  4 Zn 2.60-2.66, 2 Ag 2.84
Zn: 0.0000 0.5000 0.5000  4 Zn 2.60, 4 Ag 2.78
Zn: 0.6740 0.6794 0.9726  4 Zn 2.60-2.66, 1 Ag 2.75
Zn: 0.1312 0.5857 0.1519  4 Zn 2.60-2.66, 2 Ag 2.84
Zn: 0.3260 0.3206 0.0274  4 Zn 2.60-2.66, 1 Ag 2.75
Zn: 0.8688 0.4143 0.8481  4 Zn 2.60-2.66, 2 Ag 2.84
Zn: 0.3260 0.0274 0.3206  4 Zn 2.60-2.66, 1 Ag 2.75
Zn: 0.6740 0.9726 0.6794  4 Zn 2.60-2.66, 1 Ag 2.75
Zn: 0.8688 0.8481 0.4143  4 Zn 2.60-2.66, 2 Ag 2.84
Ag: 0.5000 0.3131 0.6869  8 Zn 2.75-2.84
Ag: 0.5000 0.6869 0.3131  8 Zn 2.75-2.84
Na: 0.0000 0.0000 0.0000  4 Zn 3.07
Na: 0.7023 0.2977 0.2977  12 Zn 3.06-3.36, 2 Ag 3.16
Na: 0.2977 0.7023 0.7023  12 Zn 3.06-3.36, 2 Ag 3.16

Total moment ... 0.00 μB per cell
DOS(E_F) ... 3.99 states/eV/cell
Symmetry ... No. 71
Energy of formation from the pure elements ... -0.022 eV/atom
Raw total energy ... -0.056 Ha/atom

=====

Record 7
Tb6In3Au | PBE | relaxed

Unit cell a=5.1439 b=9.8910 c=11.4504 alpha=107.99 beta=90.00 gamma=90.00
Closest atoms and distances in Å follow each position.
Positions (direct):
Tb: 0.7500 0.3486 0.3080  1 Au 2.91, 4 In 3.18-3.23
Tb: 0.2500 0.4570 0.0914  6 In 3.21-3.45, 3 Tb 3.57-3.58
Tb: 0.7500 0.7497 0.5133  2 Au 3.04, 3 In 3.15-3.31
Tb: 0.7500 0.5430 0.9086  6 In 3.21-3.45, 3 Tb 3.57-3.58
Tb: 0.2500 0.1030 0.8594  1 Au 2.87, 3 In 3.07-3.13
Tb: 0.7500 0.8970 0.1406  1 Au 2.87, 3 In 3.07-3.13
Tb: 0.7500 0.8761 0.8474  7 Tb 3.30-3.64, 3 In 3.33-3.35
Tb: 0.7500 0.1277 0.6552  3 Au 3.01-3.32
Tb: 0.2500 0.1239 0.1526  7 Tb 3.30-3.64, 3 In 3.33-3.35
Tb: 0.2500 0.2503 0.4867  2 Au 3.04, 3 In 3.15-3.31
Tb: 0.2500 0.8723 0.3448  3 Au 3.01-3.32
Tb: 0.2500 0.6514 0.6920  1 Au 2.91, 4 In 3.18-3.23
In: 0.7500 0.4557 0.6104  8 Tb 3.18-3.44, 2 In 3.45
In: 0.7500 0.6310 0.2243  5 Tb 3.07-3.22
In: 0.2500 0.3690 0.7757  5 Tb 3.07-3.22
In: 0.7500 0.2215 0.0123  8 Tb 3.13-3.40
In: 0.2500 0.7785 0.9877  8 Tb 3.13-3.40
In: 0.2500 0.5443 0.3896  8 Tb 3.18-3.44, 2 In 3.45
Au: 0.7500 0.0939 0.3846  5 Tb 2.87-3.04
Au: 0.2500 0.9061 0.6154  5 Tb 2.87-3.04

Total moment ... 0.00 μB per cell
DOS(E_F) ... 18.81 states/eV/cell
Symmetry ... No. 11
Energy of formation from the pure elements ... -0.436 eV/atom
Raw total energy ... -0.160 Ha/atom